# 1
DFT (PBE) results for NbTeH2PdI after structural relaxation.

Space-group type: No. 38
E above lowest polymorph (meV per atom): 65
DOS(E_F) (states/eV/f.u.): 2.29

Cell lengths 3.4045, 8.5223, 8.5223 Å; angles 30.45, 90.00, 90.00 degrees
Last column: nearest neighbours and their distance in Å.
Atoms (fractional coordinates):
Nb 0.0000 0.0000 0.0000  4 H 2.03
Te 0.5000 0.1398 0.1398  2 Pd 2.72, 2 Nb 2.86, 2 H 2.98
H 0.5000 0.1849 0.7519  1 Pd 1.80, 1 H 1.94
H 0.5000 0.7519 0.1849  1 Pd 1.80, 1 H 1.94
Pd 0.5000 0.5460 0.5460  2 H 1.80
I 0.0000 0.8329 0.8329  1 Nb 2.75, 4 H 2.97

***

# 2
DFT (PBE) results for MgAg7Au4 after structural relaxation.

ΔE_f (eV/atom): 0.076
Space-group type: No. 12
DOS(E_F) (states/eV/f.u.): 2.59

Cell lengths 5.8225, 5.8225, 10.2546 Å; angles 117.23, 117.23, 51.63 degrees
Last column: nearest neighbours and their distance in Å.
Atoms (fractional coordinates):
Mg 0.0000 0.0000 0.0000  4 Ag 2.54-2.68
Ag 0.1099 0.1099 0.4522  5 Au 2.81-2.95, 4 Ag 2.90-2.96
Ag 0.2872 0.2872 0.0838  1 Mg 2.68, 4 Ag 2.77-2.94, 4 Au 2.81-2.88
Ag 0.3444 0.3444 0.3813  5 Ag 2.79-2.96, 4 Au 2.86-2.99
Ag 0.5000 0.5000 0.0000  2 Mg 2.54, 2 Ag 2.77, 2 Au 2.83
Ag 0.6556 0.6556 0.6187  5 Ag 2.79-2.96, 4 Au 2.86-2.99
Ag 0.7128 0.7128 0.9162  1 Mg 2.68, 4 Ag 2.77-2.94, 4 Au 2.81-2.88
Ag 0.8901 0.8901 0.5478  5 Au 2.81-2.95, 4 Ag 2.90-2.96
Au 0.1920 0.1920 0.7732  8 Ag 2.81-2.95, 1 Au 2.84
Au 0.4118 0.4118 0.6888  7 Ag 2.81-2.99, 1 Au 2.84
Au 0.5882 0.5882 0.3112  7 Ag 2.81-2.99, 1 Au 2.84
Au 0.8080 0.8080 0.2268  8 Ag 2.81-2.95, 1 Au 2.84

***

# 3
DFT (PBE) results for InAgI4 after structural relaxation.

Space-group type: No. 12
E above lowest polymorph (meV per atom): 58
Formation energy (no corrections) (meV/atom): -377

Cell lengths 8.5267, 8.5267, 7.5265 Å; angles 116.18, 116.18, 29.33 degrees
Last column: nearest neighbours and their distance in Å.
Atoms (fractional coordinates):
In 0.0000 0.0000 0.0000  6 I 2.88-3.03
Ag 0.5000 0.5000 0.5000  6 I 3.04-3.13
I 0.1106 0.1106 0.4266  1 In 2.88, 2 Ag 3.04
I 0.3791 0.3791 0.0360  2 In 3.03, 1 Ag 3.13
I 0.6209 0.6209 0.9640  2 In 3.03, 1 Ag 3.13
I 0.8894 0.8894 0.5734  1 In 2.88, 2 Ag 3.04

***

# 4
DFT (PBE) results for Ca5TbTe6 after structural relaxation.

Space-group type: No. 12
DOS(E_F) (states/eV/f.u.): 3.72
Formation energy (no corrections) (meV/atom): -1580

Cell lengths 7.7664, 7.7664, 7.7716 Å; angles 99.60, 99.60, 119.98 degrees
Last column: nearest neighbours and their distance in Å.
Atoms (fractional coordinates):
Ca 0.0000 0.0000 0.0000  6 Te 3.17-3.21
Ca 0.1663 0.8337 0.5000  6 Te 3.17-3.18
Ca 0.3320 0.6680 0.0000  6 Te 3.17-3.20
Ca 0.6680 0.3320 0.0000  6 Te 3.17-3.20
Ca 0.8337 0.1663 0.5000  6 Te 3.17-3.18
Tb 0.5000 0.5000 0.5000  6 Te 3.13
Te 0.0887 0.4176 0.2527  1 Tb 3.13, 5 Ca 3.17-3.20
Te 0.2541 0.2541 0.7478  1 Tb 3.13, 5 Ca 3.17-3.21
Te 0.4176 0.0887 0.2527  1 Tb 3.13, 5 Ca 3.17-3.20
Te 0.5824 0.9113 0.7473  1 Tb 3.13, 5 Ca 3.17-3.20
Te 0.7459 0.7459 0.2522  1 Tb 3.13, 5 Ca 3.17-3.21
Te 0.9113 0.5824 0.7473  1 Tb 3.13, 5 Ca 3.17-3.20

***

# 5
DFT (PBE) results for NdTlHgRh after structural relaxation.

ΔE_f (eV/atom): -0.239
Space-group type: No. 216
DOS(E_F) (states/eV/f.u.): 2.07

Cell lengths 5.0657, 5.0657, 5.0657 Å; angles 60.00, 60.00, 60.00 degrees
Last column: nearest neighbours and their distance in Å.
Atoms (fractional coordinates):
Nd 0.0000 0.0000 0.0000  4 Hg 3.10, 4 Rh 3.10
Tl 0.5000 0.5000 0.5000  4 Hg 3.10, 4 Rh 3.10
Hg 0.2500 0.2500 0.2500  4 Tl 3.10, 4 Nd 3.10
Rh 0.7500 0.7500 0.7500  4 Tl 3.10, 4 Nd 3.10

***

# 6
DFT (PBE) results for AcNpCu2O8 after structural relaxation.

Space-group type: No. 119
DOS(E_F) (states/eV/f.u.): 9.42
Formation energy (no corrections) (meV/atom): -1636

Cell lengths 6.0532, 6.0532, 6.0532 Å; angles 108.93, 108.93, 110.56 degrees
Last column: nearest neighbours and their distance in Å.
Atoms (fractional coordinates):
Ac 0.0000 0.0000 0.0000  8 O 2.39-2.64
Np 0.7500 0.2500 0.5000  4 O 2.05
Cu 0.2500 0.7500 0.5000  4 O 1.81
Cu 0.5000 0.5000 0.0000  4 O 1.99
O 0.0458 0.3832 0.3374  1 Cu 1.81
O 0.0458 0.7084 0.6626  1 Cu 1.81
O 0.0981 0.3130 0.7851  1 Cu 1.99, 1 Np 2.05
O 0.2916 0.9542 0.3374  1 Cu 1.81
O 0.5279 0.3130 0.2149  1 Cu 1.99, 1 Np 2.05
O 0.6168 0.9542 0.6626  1 Cu 1.81
O 0.6870 0.4721 0.7851  1 Cu 1.99, 1 Np 2.05
O 0.6870 0.9019 0.2149  1 Cu 1.99, 1 Np 2.05

***

# 7
DFT (PBE) results for HoScRu after structural relaxation.

ΔE_f (eV/atom): -0.444
Space-group type: No. 189
E above lowest polymorph (meV per atom): 0
DOS(E_F) (states/eV/f.u.): 1.11

Cell lengths 7.3132, 7.3132, 4.1489 Å; angles 90.00, 90.00, 120.00 degrees
Last column: nearest neighbours and their distance in Å.
Atoms (fractional coordinates):
Ho 0.0000 0.4143 0.0000  5 Ru 3.03, 6 Sc 3.21-3.36
Ho 0.4143 0.0000 0.0000  5 Ru 3.03, 6 Sc 3.21-3.36
Ho 0.5857 0.5857 0.0000  5 Ru 3.03, 6 Sc 3.21-3.36
Sc 0.0000 0.7484 0.5000  4 Ru 2.77-2.79
Sc 0.2516 0.2516 0.5000  4 Ru 2.77-2.79
Sc 0.7484 0.0000 0.5000  4 Ru 2.77-2.79
Ru 0.0000 0.0000 0.0000  6 Sc 2.77, 3 Ho 3.03
Ru 0.3333 0.6667 0.5000  3 Sc 2.79, 6 Ho 3.03
Ru 0.6667 0.3333 0.5000  3 Sc 2.79, 6 Ho 3.03

***

# 8
DFT (PBE) results for AcTmGe after structural relaxation.

ΔE_f (eV/atom): -0.377
Space-group type: No. 216
E above lowest polymorph (meV per atom): 191
DOS(E_F) (states/eV/f.u.): 3.16

Cell lengths 5.1250, 5.1250, 5.1250 Å; angles 60.00, 60.00, 60.00 degrees
Last column: nearest neighbours and their distance in Å.
Atoms (fractional coordinates):
Ac 0.0000 0.0000 0.0000  4 Ge 3.14
Tm 0.5000 0.5000 0.5000  4 Ge 3.14
Ge 0.7500 0.7500 0.7500  4 Ac 3.14, 4 Tm 3.14

***

Number 1: calculated volume 20.88 A^3/atom. Number 2: calculated volume 19.56 A^3/atom. Number 3: calculated volume 39.76 A^3/atom. Number 4: calculated volume 31.90 A^3/atom. Number 5: calculated volume 22.98 A^3/atom. Number 6: calculated volume 14.22 A^3/atom. Number 7: calculated volume 21.35 A^3/atom. Number 8: calculated volume 31.73 A^3/atom.